(1)
Below is a geometry-optimized CsY2CrCl structure, with properties calculated at the PBE-GGA level.

a b c (Å): 5.075 5.075 6.967
angles (deg): 90.00 90.00 90.00
Sites, in units of the cell vectors:
Cs 0.000 0.000 0.000
Y 0.000 0.500 0.500
Y 0.500 0.000 0.500
Cr 0.000 0.000 0.500
Cl 0.500 0.500 0.000

## Properties
D(E_F)   1.087 states/eV/atom
ΔE_f (raw)   0.404 eV/atom
Final energy   -23.23 eV/f.u.


(2)
Below is a geometry-optimized Sc2GaCu3 structure, with properties calculated at the PBE-GGA level.

a b c (Å): 5.101 5.101 5.085
angles (deg): 119.70 119.70 60.30
Sites, in units of the cell vectors:
Sc 0.125 0.125 0.374
Sc 0.875 0.875 0.626
Ga 0.500 0.500 0.000
Cu 0.000 0.500 0.000
Cu 0.500 0.000 0.000
Cu 0.500 0.500 0.500

## Properties
Relative energy among the computed polymorphs   0 meV/atom
D(E_F)   0.657 states/eV/atom
Energy of formation   -348 meV per atom
Final energy   -30.07 eV/f.u.


(3)
Below is a geometry-optimized CaCuAsBr2 structure, with properties calculated at the PBE-GGA level.

a b c (Å): 5.110 5.110 4.874
angles (deg): 90.00 90.00 90.00
Sites, in units of the cell vectors:
Ca 0.000 0.000 0.000
Cu 0.500 0.500 0.500
As 0.500 0.500 0.000
Br 0.000 0.500 0.500
Br 0.500 0.000 0.500

## Properties
Relative energy among the computed polymorphs   0 meV/atom
D(E_F)   0.690 states/eV/atom
ΔE_f (raw)   -0.412 eV/atom
Final energy   -16.15 eV/f.u.


(4)
Below is a geometry-optimized Ca2CuPt structure, with properties calculated at the PBE-GGA level.

a b c (Å): 6.062 6.062 6.062
angles (deg): 144.16 135.60 58.32
Sites, in units of the cell vectors:
Ca 0.000 0.000 0.000
Ca 0.717 0.217 0.500
Cu 0.287 0.787 0.500
Pt 0.455 0.455 0.000

## Properties
D(E_F)   0.443 states/eV/atom
Energy of formation   -436 meV per atom
Final energy   -15.89 eV/f.u.


(5)
Below is a geometry-optimized Na2Hg2Pd15 structure, with properties calculated at the PBE-GGA level.

a b c (Å): 6.992 6.992 6.992
angles (deg): 81.63 81.63 81.63
Sites, in units of the cell vectors:
Na 0.097 0.097 0.097
Na 0.903 0.903 0.903
Hg 0.357 0.357 0.357
Hg 0.643 0.643 0.643
Pd 0.000 0.000 0.500
Pd 0.000 0.334 0.666
Pd 0.000 0.500 0.000
Pd 0.000 0.666 0.334
Pd 0.172 0.662 0.662
Pd 0.334 0.000 0.666
Pd 0.334 0.666 0.000
Pd 0.338 0.338 0.828
Pd 0.338 0.828 0.338
Pd 0.500 0.000 0.000
Pd 0.662 0.172 0.662
Pd 0.662 0.662 0.172
Pd 0.666 0.000 0.334
Pd 0.666 0.334 0.000
Pd 0.828 0.338 0.338

## Properties
D(E_F)   1.052 states/eV/atom
Energy of formation   32 meV per atom
Final energy   -80.52 eV/f.u.


(6)
Below is a geometry-optimized CuSnPd2 structure, with properties calculated at the PBE-GGA level.

a b c (Å): 4.042 4.042 3.890
angles (deg): 90.00 90.00 90.00
Sites, in units of the cell vectors:
Cu 0.000 0.000 0.000
Sn 0.500 0.500 0.000
Pd 0.000 0.500 0.500
Pd 0.500 0.000 0.500

## Properties
D(E_F)   0.414 states/eV/atom
Energy of formation   -377 meV per atom
Final energy   -19.99 eV/f.u.


(7)
Below is a geometry-optimized AlTc2Ag structure, with properties calculated at the PBE-GGA level.

a b c (Å): 5.075 5.075 5.075
angles (deg): 136.46 136.46 63.27
Sites, in units of the cell vectors:
Al 0.000 0.000 0.000
Tc 0.250 0.750 0.500
Tc 0.750 0.250 0.500
Ag 0.500 0.500 0.000

## Properties
D(E_F)   1.240 states/eV/atom
Energy of formation   265 meV per atom
Final energy   -26.27 eV/f.u.


(8)
Below is a geometry-optimized Fe2RePt structure, with properties calculated at the PBE-GGA level.

a b c (Å): 2.748 2.748 7.103
angles (deg): 90.00 90.00 90.00
Sites, in units of the cell vectors:
Fe 0.000 0.000 0.000
Fe 0.500 0.500 0.215
Re 0.500 0.500 0.766
Pt 0.000 0.000 0.480

## Properties
D(E_F)   0.790 states/eV/atom
Energy of formation   -36 meV per atom
Final energy   -35.56 eV/f.u.


(9)
Below is a geometry-optimized Er8TmIn2 structure, with properties calculated at the PBE-GGA level.

a b c (Å): 8.717 8.717 5.543
angles (deg): 102.33 102.33 119.47
Sites, in units of the cell vectors:
Er 0.095 0.324 0.623
Er 0.215 0.785 0.000
Er 0.324 0.095 0.623
Er 0.403 0.403 0.202
Er 0.597 0.597 0.798
Er 0.676 0.905 0.377
Er 0.785 0.215 0.000
Er 0.905 0.676 0.377
Tm 0.000 0.000 0.000
In 0.307 0.693 0.500
In 0.693 0.307 0.500

## Properties
D(E_F)   1.371 states/eV/atom
Energy of formation   -28 meV per atom
Final energy   -46.76 eV/f.u.


(10)
Below is a geometry-optimized CuSn6Pd3 structure, with properties calculated at the PBE-GGA level.

a b c (Å): 7.145 6.555 11.225
angles (deg): 90.00 123.79 90.00
Sites, in units of the cell vectors:
Cu 0.000 0.000 0.000
Cu 0.000 0.500 0.500
Sn 0.077 0.035 0.259
Sn 0.077 0.465 0.759
Sn 0.246 0.146 0.598
Sn 0.246 0.354 0.098
Sn 0.396 0.642 0.571
Sn 0.396 0.858 0.071
Sn 0.604 0.142 0.929
Sn 0.604 0.358 0.429
Sn 0.754 0.646 0.902
Sn 0.754 0.854 0.402
Sn 0.923 0.535 0.241
Sn 0.923 0.965 0.741
Pd 0.302 0.682 0.276
Pd 0.302 0.818 0.776
Pd 0.500 0.000 0.500
Pd 0.500 0.500 0.000
Pd 0.698 0.182 0.224
Pd 0.698 0.318 0.724

## Properties
D(E_F)   0.473 states/eV/atom
Energy of formation   -261 meV per atom
Final energy   -46.30 eV/f.u.


(11)
Below is a geometry-optimized LaCrHg2 structure, with properties calculated at the PBE-GGA level.

a b c (Å): 3.743 3.743 7.130
angles (deg): 90.00 90.00 90.00
Sites, in units of the cell vectors:
La 0.000 0.000 0.000
Cr 0.500 0.500 0.289
Hg 0.000 0.000 0.461
Hg 0.500 0.500 0.715

## Properties
D(E_F)   0.853 states/eV/atom
Energy of formation   99 meV per atom
Final energy   -14.76 eV/f.u.


(12)
Below is a geometry-optimized BAsP structure, with properties calculated at the PBE-GGA level.

a b c (Å): 5.102 3.115 6.938
angles (deg): 90.00 109.96 90.00
Sites, in units of the cell vectors:
B 0.246 0.250 0.093
B 0.754 0.750 0.907
As 0.376 0.750 0.665
As 0.624 0.250 0.335
P 0.156 0.750 0.915
P 0.844 0.250 0.085

## Properties
D(E_F)   0.010 states/eV/atom
Energy of formation   79 meV per atom
Final energy   -16.50 eV/f.u.